# 1
First-principles (PBE) data for an optimized crystal structure of YInSiAg2, as listed in the Alexandria database.

Unit cell a=5.0268 b=5.2201 c=5.0268 alpha=90.00 beta=90.00 gamma=90.00
With the nearest neighbours (Å) after each atom.
Fractional coordinates of all 5 atoms:
1 Ag 0.5000 0.0000 0.0000  2 In 2.51
2 Ag 0.0000 0.0000 0.5000  2 In 2.51
3 Y 0.5000 0.5000 0.5000  4 Si 3.55, 8 Ag 3.62
4 In 0.0000 0.0000 0.0000  4 Ag 2.51, 2 Si 2.61
5 Si 0.0000 0.5000 0.0000  2 In 2.61

Output
As for the density of states at the Fermi level: 2.1 states/eV/f.u. As for the raw formation energy: 0.47 eV per atom. The value obtained for the total magnetization is 0.0 μB/cell.

# 2
First-principles (PBE) data for an optimized crystal structure of ZrScIn2, as listed in the Alexandria database.

Unit cell a=10.0696 b=10.0696 c=10.0696 alpha=18.96 beta=18.96 gamma=18.96
With the nearest neighbours (Å) after each atom.
Fractional coordinates of all 4 atoms:
1 Zr 0.7500 0.7500 0.7500  6 In 3.14, 6 Zr 3.32
2 In 0.5007 0.5007 0.5007  3 Sc 3.11, 3 Zr 3.14, 6 In 3.32
3 In 0.9993 0.9993 0.9993  3 Sc 3.11, 3 Zr 3.14, 6 In 3.32
4 Sc 0.2500 0.2500 0.2500  6 In 3.11, 6 Sc 3.32

Output
As for the density of states at the Fermi level: 3.3 states/eV/f.u. For the formation energy from the elements, the calculation gives -0.229 eV/atom. The value obtained for the total magnetization is 0.0 μB/cell.

# 3
First-principles (PBE) data for an optimized crystal structure of ErGa3Ni2, as listed in the Alexandria database.

Unit cell a=3.9259 b=8.2592 c=9.5026 alpha=103.71 beta=90.00 gamma=103.75
With the nearest neighbours (Å) after each atom.
Fractional coordinates of all 18 atoms:
1 Ni 0.7894 0.5789 0.9126  5 Ga 2.39-2.58
2 Ni 0.3585 0.7169 0.5531  7 Ga 2.38-2.56
3 Ga 0.3560 0.7120 0.0672  4 Ni 2.36-2.53, 1 Ga 2.48
4 Er 0.8530 0.7061 0.3051  9 Ga 3.00-3.32, 6 Ni 3.05-3.32
5 Ga 0.3595 0.7191 0.8081  4 Ni 2.42-2.58, 1 Ga 2.48
6 Ga 0.6405 0.2809 0.1919  4 Ni 2.42-2.58, 1 Ga 2.48
7 Ni 0.6415 0.2831 0.4469  7 Ga 2.38-2.56
8 Ni 0.2106 0.4211 0.0874  5 Ga 2.39-2.58
9 Ga 0.5000 0.0000 0.5000  4 Ni 2.44-2.51, 4 Ga 2.68
10 Ga 0.0541 0.1081 0.3520  4 Ni 2.36-2.45
11 Ga 0.9459 0.8919 0.6480  4 Ni 2.36-2.45
12 Er 0.0000 0.0000 0.0000  6 Ni 2.98-3.28, 10 Ga 3.20-3.24
13 Ga 0.7752 0.5505 0.6246  3 Ni 2.38-2.56
14 Ni 0.4923 0.9846 0.2329  5 Ga 2.36-2.51
15 Ni 0.5077 0.0154 0.7671  5 Ga 2.36-2.51
16 Er 0.1470 0.2939 0.6949  9 Ga 3.00-3.32, 6 Ni 3.05-3.32
17 Ga 0.6440 0.2880 0.9328  4 Ni 2.36-2.53, 1 Ga 2.48
18 Ga 0.2248 0.4495 0.3754  3 Ni 2.38-2.56

Output
As for the density of states at the Fermi level: 3.2 states/eV/f.u. For the formation energy from the elements, the calculation gives -0.531 eV/atom. The value obtained for the total magnetization is 0.0 μB/cell.

# 4
First-principles (PBE) data for an optimized crystal structure of RuCSeN, as listed in the Alexandria database.

Unit cell a=3.2144 b=3.9678 c=5.9350 alpha=89.53 beta=89.63 gamma=66.08
With the nearest neighbours (Å) after each atom.
Fractional coordinates of all 4 atoms:
1 Se 0.2550 0.6853 0.7597  3 Ru 2.43-2.69
2 C 0.7070 0.7725 0.1534  1 N 1.20
3 Ru 0.9295 0.3316 0.9792  1 C 1.91
4 N 0.5512 0.0830 0.2241  1 C 1.20

Output
As for the density of states at the Fermi level: 2.3 states/eV/f.u. As for the raw formation energy: 0.37 eV per atom. The value obtained for the total magnetization is 0.0 μB/cell.